VASP calculation (PBE-GGA) on HfSn3C after structural relaxation.

Geometry as POSCAR:
```
HfSn3C
1.0
5.550 0.000 0.000
0.000 5.550 0.000
0.000 0.000 5.550
Sn Hf C
3 1 1
Direct
0.500 0.000 0.000 Sn
0.000 0.000 0.500 Sn
0.000 0.500 0.000 Sn
0.000 0.000 0.000 Hf
0.500 0.500 0.500 C
```

Its energy above the most stable polymorph in this dataset is 804 meV/atom. The value obtained for the formation energy is 8.49 eV per formula unit. As for the total energy: -4.539 eV/atom. As for the space group: Pm-3m.


VASP calculation (PBE-GGA) on InGe2H after structural relaxation.

Geometry as POSCAR:
```
InGe2H
1.0
-0.126 -4.660 0.354
-3.258 -2.056 2.649
-3.470 -2.405 -2.009
Ge In H
2 1 1
Direct
0.750 0.750 0.750 Ge
0.250 0.250 0.250 Ge
0.500 0.500 0.500 In
0.000 0.000 0.000 H
```

Its energy above the most stable polymorph in this dataset is 193 meV/atom. As for the total energy: -3.222 eV/atom. As for the space group: Fm-3m.